(1)
Material: ScCd2In
Method: DFT, PBE
State: optimized geometry

Computed properties:
Formation energy, kJ/mol of formula units: -23.0

a b c (Å): 3.2865 3.2865 30.6513
angles (deg): 90.00 90.00 120.00
Last column: nearest neighbours and their distance in Å.
Space group R-3m (No. 166, hexagonal axes)
Symmetry-distinct sites (fractional):
Sc  0.0000  0.0000  0.0000  6 Cd 3.12, 6 Sc 3.29
Cd  0.0000  0.0000  0.2523  3 Sc 3.12, 3 In 3.24, 6 Cd 3.29
In  0.0000  0.0000  0.5000  6 Cd 3.24, 6 In 3.29

***

(2)
Material: Pm2PrSmEr2
Method: DFT, PBE
State: optimized geometry

Computed properties:
Formation energy, kJ/mol of formula units: 153.0

a b c (Å): 6.5782 18.2385 3.4209
angles (deg): 90.00 90.00 90.00
Last column: nearest neighbours and their distance in Å.
Space group Pnnm (No. 58)
Symmetry-distinct sites (fractional):
Pm  0.2184  0.1891  0.0000  4 Er 3.37-3.45, 2 Pm 3.42, 1 Pr 3.74
Pr  0.0000  0.0000  0.0000  2 Er 3.27, 2 Pr 3.42
Sm  0.0000  0.5000  0.0000  2 Sm 3.42, 4 Er 3.48, 4 Pr 3.71
Er  0.2165  0.3531  0.5000  1 Pr 3.27, 4 Pm 3.37-3.45, 2 Er 3.42, 2 Sm 3.48

***

(3)
Material: IrRuPt2
Method: DFT, PBE
State: optimized geometry

Computed properties:
Excess energy over the best structure of this formula in the dataset, eV/atom: 0.055
Formation energy, kJ/mol of formula units: 4.2

a b c (Å): 3.8938 3.8938 7.8498
angles (deg): 90.00 90.00 90.00
Last column: nearest neighbours and their distance in Å.
Space group I-4m2 (No. 119)
Symmetry-distinct sites (fractional):
Ir  0.0000  0.0000  0.0000  8 Pt 2.75-2.76, 4 Ru 2.76
Ru  0.0000  0.5000  0.2500  8 Pt 2.75-2.76, 4 Ir 2.76
Pt  0.0000  0.0000  0.5000  4 Ir 2.75, 4 Ru 2.76, 4 Pt 2.76
Pt  0.0000  0.5000  0.7500  4 Ru 2.75, 4 Ir 2.76, 4 Pt 2.76

***

(4)
Material: AlInGaSn
Method: DFT, PBE
State: optimized geometry

Computed properties:
Formation energy, kJ/mol of formula units: 44.2

a b c (Å): 7.1523 7.1523 7.1523
angles (deg): 90.00 90.00 90.00
Last column: nearest neighbours and their distance in Å.
Space group F-43m (No. 216)
Symmetry-distinct sites (fractional):
Al  0.0000  0.0000  0.0000  4 In 3.10, 4 Sn 3.10
In  0.2500  0.2500  0.2500  4 Al 3.10, 4 Ga 3.10
Ga  0.0000  0.0000  0.5000  4 In 3.10, 4 Sn 3.10
Sn  0.2500  0.2500  0.7500  4 Al 3.10, 4 Ga 3.10

***

(5)
Material: Ba2InP
Method: DFT, PBE
State: optimized geometry

Computed properties:
Excess energy over the best structure of this formula in the dataset, eV/atom: 0.164
Formation energy, kJ/mol of formula units: -171.0

a b c (Å): 4.4199 4.4199 29.0053
angles (deg): 90.00 90.00 120.00
Last column: nearest neighbours and their distance in Å.
Space group R3m (No. 160, hexagonal axes)
Symmetry-distinct sites (fractional):
Ba  0.0000  0.0000  0.0000  3 In 3.61
Ba  0.0000  0.0000  0.1947  3 P 3.18
In  0.0000  0.0000  0.7548  3 P 2.82
P  0.0000  0.0000  0.4629  3 In 2.82

***

(6)
Material: K3NiCl5
Method: DFT, PBE
State: optimized geometry

Computed properties:
Formation energy from raw total energies, eV per atom: -1.452

a b c (Å): 8.5255 8.5255 14.3367
angles (deg): 90.00 90.00 90.00
Last column: nearest neighbours and their distance in Å.
Space group I4/mcm (No. 140)
Symmetry-distinct sites (fractional):
K  0.0000  0.0000  0.2500  10 Cl 3.58-3.60
K  0.1651  0.3349  0.0000  8 Cl 3.16-3.36
Ni  0.0000  0.5000  0.2500  4 Cl 2.24
Cl  0.0000  0.0000  0.0000  4 K 3.18
Cl  0.1401  0.3599  0.3523  1 Ni 2.24

***

(7)
Material: CaRh2W
Method: DFT, PBE
State: optimized geometry

Computed properties:
Excess energy over the best structure of this formula in the dataset, eV/atom: 0.641
Formation energy, kJ/mol of formula units: 189.4

a b c (Å): 6.4281 6.4281 6.4281
angles (deg): 90.00 90.00 90.00
Last column: nearest neighbours and their distance in Å.
Space group F-43m (No. 216)
Symmetry-distinct sites (fractional):
Ca  0.0000  0.0000  0.0000  4 W 2.78, 4 Rh 2.78
Rh  0.0000  0.0000  0.5000  4 Rh 2.78, 4 W 2.78
Rh  0.2500  0.2500  0.2500  4 Ca 2.78, 4 Rh 2.78
W  0.2500  0.2500  0.7500  4 Ca 2.78, 4 Rh 2.78

***

(8)
Material: Ti5NbIr2Pt2
Method: DFT, PBE
State: optimized geometry

Computed properties:
Formation energy, kJ/mol of formula units: -305.4

a b c (Å): 9.1007 9.1007 4.0161
angles (deg): 90.00 90.00 90.00
Last column: nearest neighbours and their distance in Å.
Space group P4/mbm (No. 127)
Symmetry-distinct sites (fractional):
Ti  0.0000  0.5000  0.0000  4 Ir 2.55
Ti  0.0878  0.1974  0.0000  2 Ir 2.61, 4 Ti 2.76-2.87, 2 Nb 2.81
Nb  0.0000  0.0000  0.5000  8 Ti 2.81
Ir  0.1220  0.3780  0.5000  6 Ti 2.55-2.61, 3 Pt 2.63-2.74
Pt  0.1740  0.6740  0.5000  3 Ir 2.63-2.74

***

(9)
Material: AsIr2Os
Method: DFT, PBE
State: optimized geometry

Computed properties:
Formation energy, kJ/mol of formula units: 87.3

a b c (Å): 3.9751 2.8516 10.4682
angles (deg): 90.00 90.00 90.00
Last column: nearest neighbours and their distance in Å.
Space group Amm2 (No. 38)
Symmetry-distinct sites (fractional):
As  0.0000  0.0000  0.0000  2 Os 2.51, 5 Ir 2.51-2.65
Ir  0.0000  0.0000  0.2395  1 As 2.51, 4 Os 2.73
Ir  0.5000  0.0000  0.5974  4 As 2.65, 3 Os 2.69-2.92, 6 Ir 2.85-2.86
Os  0.5000  0.0000  0.8543  2 As 2.51, 5 Ir 2.69-2.73

***

(10)
Material: NaLiAc2
Method: DFT, PBE
State: optimized geometry

Computed properties:
Excess energy over the best structure of this formula in the dataset, eV/atom: 0.069
Formation energy, kJ/mol of formula units: 91.6

a b c (Å): 3.7906 3.7906 38.7284
angles (deg): 90.00 90.00 120.00
Last column: nearest neighbours and their distance in Å.
Space group R-3m (No. 166, hexagonal axes)
Symmetry-distinct sites (fractional):
Na  0.0000  0.0000  0.0000  2 Ac 3.68, 6 Na 3.79
Li  0.0000  0.0000  0.5000  6 Ac 3.54, 6 Li 3.79
Ac  0.0000  0.0000  0.0949  3 Li 3.54, 1 Na 3.68, 6 Ac 3.79

***

(11)
Material: CsCdTcI2
Method: DFT, PBE
State: optimized geometry

Computed properties:
Formation energy from raw total energies, eV per atom: 0.311

a b c (Å): 6.4291 6.4291 5.4324
angles (deg): 90.00 90.00 90.00
Last column: nearest neighbours and their distance in Å.
Space group P4/mmm (No. 123)
Symmetry-distinct sites (fractional):
Cs  0.0000  0.0000  0.0000  8 I 4.21, 4 Tc 4.55
Cd  0.5000  0.5000  0.5000  2 Tc 2.72
Tc  0.5000  0.5000  0.0000  2 Cd 2.72
I  0.0000  0.5000  0.5000  2 Cd 3.21

***

(12)
Material: TlCu4As3O12
Method: DFT, PBE
State: optimized geometry

Computed properties:
Formation energy from raw total energies, eV per atom: -0.772

a b c (Å): 10.6447 10.6447 7.1965
angles (deg): 90.00 90.00 120.00
Last column: nearest neighbours and their distance in Å.
Space group R32 (No. 155, hexagonal axes)
Symmetry-distinct sites (fractional):
Tl  0.0000  0.0000  0.0000  6 O 2.51
Cu  0.0000  0.0000  0.5000  3 O 1.92
Cu  0.0000  0.3926  0.5000  2 O 1.82
As  0.0000  0.5790  0.0000  6 O 1.85-1.91
O  0.0000  0.5932  0.5000  2 As 1.91, 1 Cu 2.14
O  0.0000  0.8193  0.5000  2 As 1.85, 1 Cu 1.92
O  0.0722  0.2149  0.2078  1 Cu 1.82, 1 As 1.87

***

(13)
Material: Rb2LiBrN
Method: DFT, PBE
State: optimized geometry

Computed properties:
Formation energy from raw total energies, eV per atom: -0.430

a b c (Å): 5.8977 5.8977 4.0395
angles (deg): 90.00 90.00 90.00
Last column: nearest neighbours and their distance in Å.
Space group P4/mmm (No. 123)
Symmetry-distinct sites (fractional):
Rb  0.0000  0.5000  0.0000  2 N 2.95
Li  0.0000  0.0000  0.5000  2 N 2.02
Br  0.5000  0.5000  0.5000  8 Rb 3.57
N  0.0000  0.0000  0.0000  2 Li 2.02

***

(14)
Material: ZrCdSb
Method: DFT, PBE
State: optimized geometry

Computed properties:
Formation energy from raw total energies, eV per atom: -0.084
Excess energy over the best structure of this formula in the dataset, eV/atom: 0.215

a b c (Å): 3.3026 3.3026 7.6854
angles (deg): 90.00 90.00 120.00
Last column: nearest neighbours and their distance in Å.
Space group P3m1 (No. 156)
Symmetry-distinct sites (fractional):
Zr  0.0000  0.0000  0.0000  3 Sb 3.08, 3 Cd 3.12, 6 Zr 3.30
Cd  0.6667  0.3333  0.3214  3 Zr 3.12, 6 Cd 3.30, 3 Sb 3.39
Sb  0.3333  0.6667  0.6857  3 Zr 3.08, 6 Sb 3.30, 3 Cd 3.39

***

(15)
Material: Ac8Pm2Pr3
Method: DFT, PBE
State: optimized geometry

Computed properties:
Excess energy over the best structure of this formula in the dataset, eV/atom: 0.036
Formation energy, kJ/mol of formula units: 255.4

a b c (Å): 8.3910 21.3603 6.2162
angles (deg): 90.00 90.00 90.00
Last column: nearest neighbours and their distance in Å.
Space group Cmmm (No. 65)
Symmetry-distinct sites (fractional):
Ac  0.0000  0.1336  0.0000  2 Pr 3.76, 2 Pm 3.87, 5 Ac 3.99-4.10
Ac  0.0000  0.3257  0.0000  2 Pm 3.59, 4 Ac 3.86
Ac  0.2101  0.3939  0.5000  1 Pr 3.32, 1 Ac 3.53, 1 Pm 3.71
Pm  0.0000  0.2413  0.5000  8 Ac 3.59-3.87
Pr  0.0000  0.0000  0.5000  4 Ac 3.32
Pr  0.2088  0.5000  0.0000  1 Pr 3.50, 6 Ac 3.76-3.85

***

M_tot
In order: 0.0, 0.0, 0.0, 0.0, 0.0, 8.0, 0.0, 0.0, 0.0, 0.0, 4.5, 2.6, 1.0, 0.0, 0.0
Unit: μB per cell